Density functional theory data (PBE+U) for CoSi2NiO after structural relaxation.

```
CoSi2NiO
1.0
4.509 0.000 0.000
0.000 3.357 0.000
0.000 0.000 4.509
Si O Co Ni
2 1 1 1
direct
0.500 0.000 0.000
0.000 0.000 0.500
0.000 0.500 0.000
0.000 0.000 0.000
0.500 0.500 0.500
```

Summary:
E_tot in eV per atom: -4.06
Magnetic moment in μB per atom: 0.189
Symmetry: No. 123